*A*
Material: ZrSc2SiBr
Method: DFT, PBE
State: relaxed

Output
Space group: No. 123

Cell lengths 4.8409, 4.8409, 5.1282 Å; angles 90.00, 90.00, 90.00 degrees
Last column: nearest neighbours and their distance in Å.
Fractional coordinates of all 5 atoms:
Zr 0.0000 0.0000 0.0000  4 Si 3.42, 8 Sc 3.53
Sc 0.0000 0.5000 0.5000  2 Br 2.42
Sc 0.5000 0.0000 0.5000  2 Br 2.42
Si 0.5000 0.5000 0.0000  2 Br 2.56
Br 0.5000 0.5000 0.5000  4 Sc 2.42, 2 Si 2.56


*B*
Material: ZrSc2SiBr
Method: DFT, PBE
State: relaxed

Output
Space group: No. 123

Cell lengths 5.3999, 5.3999, 4.9716 Å; angles 90.00, 90.00, 90.00 degrees
Last column: nearest neighbours and their distance in Å.
Fractional coordinates of all 5 atoms:
Zr 0.0000 0.0000 0.0000  2 Si 2.49, 4 Sc 2.70
Sc 0.0000 0.5000 0.0000  2 Zr 2.70
Sc 0.5000 0.0000 0.0000  2 Zr 2.70
Si 0.0000 0.0000 0.5000  2 Zr 2.49
Br 0.5000 0.5000 0.5000  8 Sc 3.67, 4 Si 3.82


Relative energies, unit kJ/mol of atoms: *A* 0.0; *B* 13.7


*A*
Material: ScSnBr2
Method: DFT, PBE
State: relaxed

Output
Space group: No. 122

Cell lengths 7.1609, 7.1609, 7.1609 Å; angles 100.34, 100.34, 129.87 degrees
Last column: nearest neighbours and their distance in Å.
Fractional coordinates of all 8 atoms:
Sc 0.0000 0.0000 0.0000  4 Br 2.68
Sc 0.7500 0.2500 0.5000  4 Br 2.68
Sn 0.2500 0.7500 0.5000  2 Sc 3.03
Sn 0.5000 0.5000 0.0000  2 Sc 3.03
Br 0.0012 0.6250 0.8762  2 Sc 2.68
Br 0.3750 0.2512 0.3762  2 Sc 2.68
Br 0.7488 0.1250 0.1238  2 Sc 2.68
Br 0.8750 0.9988 0.6238  2 Sc 2.68


*B*
Material: ScSnBr2
Method: DFT, PBE
State: relaxed

Output
Space group: No. 225

Cell lengths 5.1819, 5.1819, 5.1819 Å; angles 60.00, 60.00, 60.00 degrees
Last column: nearest neighbours and their distance in Å.
Fractional coordinates of all 4 atoms:
Sc 0.0000 0.0000 0.0000  8 Br 3.17
Sn 0.5000 0.5000 0.5000  8 Br 3.17
Br 0.2500 0.2500 0.2500  4 Sn 3.17, 4 Sc 3.17
Br 0.7500 0.7500 0.7500  4 Sn 3.17, 4 Sc 3.17


Relative energies, unit kJ/mol of atoms: *A* 0.0; *B* 30.2


*A*
Material: ScSn3Br
Method: DFT, PBE
State: relaxed

Output
Space group: No. 221

Cell lengths 5.6371, 5.6371, 5.6371 Å; angles 90.00, 90.00, 90.00 degrees
Last column: nearest neighbours and their distance in Å.
Fractional coordinates of all 5 atoms:
Sc 0.0000 0.0000 0.0000  6 Sn 2.82
Sn 0.0000 0.0000 0.5000  2 Sc 2.82
Sn 0.0000 0.5000 0.0000  2 Sc 2.82
Sn 0.5000 0.0000 0.0000  2 Sc 2.82
Br 0.5000 0.5000 0.5000  12 Sn 3.99


*B*
Material: ScSn3Br
Method: DFT, PBE
State: relaxed

Output
Space group: No. 221

Cell lengths 5.4741, 5.4741, 5.4741 Å; angles 90.00, 90.00, 90.00 degrees
Last column: nearest neighbours and their distance in Å.
Fractional coordinates of all 5 atoms:
Sc 0.0000 0.0000 0.0000  12 Sn 3.87
Sn 0.0000 0.5000 0.5000  2 Br 2.74
Sn 0.5000 0.0000 0.5000  2 Br 2.74
Sn 0.5000 0.5000 0.0000  2 Br 2.74
Br 0.5000 0.5000 0.5000  6 Sn 2.74


Relative energies, unit kJ/mol of atoms: *A* 0.0; *B* 29.6


*A*
Material: SrSc2Br
Method: DFT, PBE
State: relaxed

Output
Space group: No. 119

Cell lengths 6.1546, 6.1546, 6.1546 Å; angles 133.84, 133.84, 67.33 degrees
Last column: nearest neighbours and their distance in Å.
Fractional coordinates of all 4 atoms:
Sr 0.0000 0.0000 0.0000  8 Sc 3.41-3.52, 4 Br 3.52
Sc 0.5000 0.5000 0.0000  4 Sr 3.41, 4 Sc 3.52, 4 Br 3.52
Sc 0.7500 0.2500 0.5000  4 Br 3.41, 4 Sc 3.52, 4 Sr 3.52
Br 0.2500 0.7500 0.5000  8 Sc 3.41-3.52, 4 Sr 3.52


*B*
Material: SrSc2Br
Method: DFT, PBE
State: relaxed

Output
Space group: No. 225

Cell lengths 5.5012, 5.5012, 5.5012 Å; angles 60.00, 60.00, 60.00 degrees
Last column: nearest neighbours and their distance in Å.
Fractional coordinates of all 4 atoms:
Sr 0.0000 0.0000 0.0000  8 Sc 3.37
Sc 0.2500 0.2500 0.2500  4 Br 3.37, 4 Sr 3.37
Sc 0.7500 0.7500 0.7500  4 Br 3.37, 4 Sr 3.37
Br 0.5000 0.5000 0.5000  8 Sc 3.37


*C*
Material: SrSc2Br
Method: DFT, PBE
State: relaxed

Output
Space group: No. 35

Cell lengths 3.5328, 3.5328, 9.2683 Å; angles 90.00, 90.00, 90.23 degrees
Last column: nearest neighbours and their distance in Å.
Fractional coordinates of all 4 atoms:
Sr 0.0000 0.0000 0.0000  4 Br 3.41-3.42, 4 Sr 3.53, 4 Sc 3.75
Sc 0.0000 0.0000 0.5171  8 Sc 3.19-3.53, 4 Br 3.29-3.30
Sc 0.5000 0.5000 0.3018  8 Sc 3.19-3.53
Br 0.5000 0.5000 0.7484  4 Sc 3.29-3.30, 4 Sr 3.41-3.42, 4 Br 3.53


Relative energies, unit kJ/mol of atoms: *A* 47.7; *B* 73.9; *C* 0.0